Entry 1:
A plane-wave DFT calculation with PBE-GGA was carried out for a geometry-optimized Y6ErPb structure.

Calculated values
Volume = 31.05 A^3/atom
Formation energy from the elements = -43 meV per atom
Calculated total energy = -5.92 eV/atom
DOS at the Fermi energy = 11.05 states/eV/f.u.

Cell lengths 6.2831, 6.2841, 6.2926 Å; angles 89.90, 89.16, 89.89 degrees
Space group P-1 (No. 2)
One atom of each set of equivalent atoms:
Y 0.0018 0.2440 0.0008
Y 0.2441 0.5007 0.5106
Y 0.4928 0.9983 0.2562
Er 0.5000 0.5000 0.0000
Pb 0.0000 0.0000 0.5000

=====

Entry 2:
A plane-wave DFT calculation with PBE-GGA was carried out for a geometry-optimized YErPb structure.

Calculated values
Volume = 29.47 A^3/atom
Formation energy from the elements = -445 meV per atom
Calculated total energy = -5.36 eV/atom
DOS at the Fermi energy = 1.92 states/eV/f.u.

Cell lengths 4.5543, 4.5543, 8.5235 Å; angles 90.00, 90.00, 90.00 degrees
Space group P4/nmm (No. 129, origin choice 2)
One atom of each set of equivalent atoms:
Y 0.2500 0.2500 0.1581
Er 0.2500 0.7500 0.5000
Pb 0.2500 0.2500 0.7825

=====

Entry 3:
A plane-wave DFT calculation with PBE-GGA was carried out for a geometry-optimized YEr2Pb structure.

Calculated values
Volume = 28.70 A^3/atom
Formation energy from the elements = -94 meV per atom
Calculated total energy = -4.92 eV/atom
DOS at the Fermi energy = 5.99 states/eV/f.u.
Polymorph energy (0 for the lowest one) = 213.0 meV/atom

Cell lengths 7.7151, 7.7151, 7.7151 Å; angles 90.00, 90.00, 90.00 degrees
Space group F-43m (No. 216)
One atom of each set of equivalent atoms:
Y 0.0000 0.0000 0.0000
Er 0.0000 0.0000 0.5000
Er 0.2500 0.2500 0.7500
Pb 0.2500 0.2500 0.2500

=====

Entry 4:
A plane-wave DFT calculation with PBE-GGA was carried out for a geometry-optimized YEr3Pb structure.

Calculated values
Volume = 30.61 A^3/atom
Formation energy from the elements = -142 meV per atom
Calculated total energy = -4.91 eV/atom
DOS at the Fermi energy = 6.00 states/eV/f.u.

Cell lengths 8.9493, 8.5098, 9.4685 Å; angles 90.00, 121.89, 90.00 degrees
Space group P2_1/c (No. 14)
One atom of each set of equivalent atoms:
Y 0.2114 0.0623 0.2879
Er 0.0769 0.6918 0.0385
Er 0.2142 0.0632 0.9265
Er 0.4100 0.0874 0.7056
Pb 0.4036 0.7489 0.4512

=====

Entry 5:
A plane-wave DFT calculation with PBE-GGA was carried out for a geometry-optimized YErPb2 structure.

Calculated values
Volume = 28.16 A^3/atom
Formation energy from the elements = -420 meV per atom
Calculated total energy = -5.03 eV/atom
DOS at the Fermi energy = 4.05 states/eV/f.u.

Cell lengths 5.0629, 5.0629, 4.3941 Å; angles 90.00, 90.00, 90.00 degrees
Space group P4/mmm (No. 123)
One atom of each set of equivalent atoms:
Y 0.0000 0.0000 0.0000
Er 0.5000 0.5000 0.0000
Pb 0.0000 0.5000 0.5000

=====

Entry 6:
A plane-wave DFT calculation with PBE-GGA was carried out for a geometry-optimized YEr2Pb structure.

Calculated values
Volume = 30.92 A^3/atom
Formation energy from the elements = -246 meV per atom
Calculated total energy = -5.07 eV/atom
DOS at the Fermi energy = 4.62 states/eV/f.u.
Polymorph energy (0 for the lowest one) = 60.3 meV/atom

Cell lengths 4.2517, 12.4348, 9.3565 Å; angles 90.00, 90.00, 90.00 degrees
Space group Cmcm (No. 63)
One atom of each set of equivalent atoms:
Y 0.0000 0.0557 0.2500
Er 0.0000 0.3678 0.0545
Pb 0.0000 0.2470 0.7500

=====

Entry 7:
A plane-wave DFT calculation with PBE-GGA was carried out for a geometry-optimized YErZnPb structure.

Calculated values
Volume = 25.22 A^3/atom
Formation energy from the elements = -366 meV per atom
Calculated total energy = -4.37 eV/atom
DOS at the Fermi energy = 2.91 states/eV/f.u.

Cell lengths 7.3899, 7.3899, 7.3899 Å; angles 90.00, 90.00, 90.00 degrees
Space group F-43m (No. 216)
One atom of each set of equivalent atoms:
Y 0.0000 0.0000 0.0000
Er 0.0000 0.0000 0.5000
Zn 0.2500 0.2500 0.7500
Pb 0.2500 0.2500 0.2500

=====

Entry 8:
A plane-wave DFT calculation with PBE-GGA was carried out for a geometry-optimized ErZnPb2 structure.

Calculated values
Volume = 28.53 A^3/atom
Formation energy from the elements = 155 meV per atom
Calculated total energy = -3.16 eV/atom
DOS at the Fermi energy = 2.20 states/eV/f.u.

Cell lengths 3.5020, 3.5020, 32.2359 Å; angles 90.00, 90.00, 120.00 degrees
Space group R-3m (No. 166, hexagonal axes)
One atom of each set of equivalent atoms:
Er 0.0000 0.0000 0.0000
Zn 0.0000 0.0000 0.5000
Pb 0.0000 0.0000 0.0966

=====

Entry 9:
A plane-wave DFT calculation with PBE-GGA was carried out for a geometry-optimized ErZnPb structure.

Calculated values
Volume = 24.80 A^3/atom
Formation energy from the elements = -285 meV per atom
Calculated total energy = -3.47 eV/atom
DOS at the Fermi energy = 1.65 states/eV/f.u.

Cell lengths 4.3080, 16.2896, 4.2402 Å; angles 90.00, 90.00, 90.00 degrees
Space group Cmcm (No. 63)
One atom of each set of equivalent atoms:
Er 0.0000 0.0901 0.2500
Zn 0.0000 0.4582 0.2500
Pb 0.0000 0.2888 0.2500

=====

Entry 10:
A plane-wave DFT calculation with PBE-GGA was carried out for a geometry-optimized Er4Zn3Pb structure.

Calculated values
Volume = 23.47 A^3/atom
Formation energy from the elements = -356 meV per atom
Calculated total energy = -3.58 eV/atom
DOS at the Fermi energy = 6.42 states/eV/f.u.

Cell lengths 5.0755, 5.0755, 7.2900 Å; angles 90.00, 90.00, 90.00 degrees
Space group P4/mmm (No. 123)
One atom of each set of equivalent atoms:
Er 0.0000 0.5000 0.2354
Zn 0.0000 0.0000 0.0000
Zn 0.0000 0.0000 0.5000
Zn 0.5000 0.5000 0.0000
Pb 0.5000 0.5000 0.5000

=====

Entry 11:
A plane-wave DFT calculation with PBE-GGA was carried out for a geometry-optimized Er6Zn2Pb structure.

Calculated values
Volume = 26.94 A^3/atom
Formation energy from the elements = -261 meV per atom
Calculated total energy = -4.00 eV/atom
DOS at the Fermi energy = 8.39 states/eV/f.u.

Cell lengths 9.3513, 9.6185, 10.7823 Å; angles 90.00, 90.00, 90.00 degrees
Space group Immm (No. 71)
One atom of each set of equivalent atoms:
Er 0.0000 0.2031 0.2320
Er 0.1958 0.5000 0.1825
Er 0.2123 0.3086 0.5000
Zn 0.0000 0.3542 0.0000
Zn 0.0000 0.5000 0.3831
Pb 0.0000 0.0000 0.0000
Pb 0.0000 0.0000 0.5000

=====

Entry 12:
A plane-wave DFT calculation with PBE-GGA was carried out for a geometry-optimized ErZnPb2 structure.

Calculated values
Volume = 25.83 A^3/atom
Formation energy from the elements = -106 meV per atom
Calculated total energy = -3.42 eV/atom
DOS at the Fermi energy = 2.28 states/eV/f.u.

Cell lengths 3.8836, 3.8836, 6.8513 Å; angles 90.00, 90.00, 90.00 degrees
Space group P4/mmm (No. 123)
One atom of each set of equivalent atoms:
Er 0.0000 0.0000 0.0000
Zn 0.0000 0.0000 0.5000
Pb 0.5000 0.5000 0.2691